[1]
Density functional theory data (PBE) for a relaxed structure of Er3Sc2.

Computed properties:
* total magnetization: 0.00 μB/f.u.
* E above lowest polymorph: 16 meV per atom
* V: 280 Å³ per cell
* DFT total energy: -26.197 eV/f.u.

Lattice parameters (Å, degrees): 8.5720 8.5720 6.4141 100.37 100.37 136.94
Closest atoms and distances in Å follow each position.
Fractional coordinates of all 10 atoms:
Sc: 0.8047 0.1013 0.6032  7 Er 3.23-3.44, 3 Sc 3.29-3.44
Er: 0.9667 0.9667 0.0000  4 Sc 3.23-3.44, 6 Er 3.29-3.49
Er: 0.7058 0.1102 0.0856  5 Sc 3.24-3.35, 5 Er 3.29-3.62
Er: 0.0246 0.6202 0.9144  5 Sc 3.24-3.35, 5 Er 3.29-3.62
Sc: 0.4515 0.2481 0.8968  7 Er 3.23-3.44, 3 Sc 3.29-3.44
Er: 0.8702 0.7746 0.4144  5 Sc 3.24-3.35, 5 Er 3.29-3.62
Sc: 0.3513 0.5547 0.1032  7 Er 3.23-3.44, 3 Sc 3.29-3.44
Er: 0.2167 0.7167 0.5000  4 Sc 3.23-3.44, 6 Er 3.29-3.49
Sc: 0.4981 0.2015 0.3968  7 Er 3.23-3.44, 3 Sc 3.29-3.44
Er: 0.3602 0.4558 0.5856  5 Sc 3.24-3.35, 5 Er 3.29-3.62

---

[2]
Density functional theory data (PBE) for a relaxed structure of Er3Sc2.

Computed properties:
* total magnetization: 0.00 μB/f.u.
* E above lowest polymorph: 0 meV per atom
* V: 282 Å³ per cell
* DFT total energy: -26.276 eV/f.u.

Lattice parameters (Å, degrees): 6.0064 6.4253 9.1933 65.88 70.93 62.13
Closest atoms and distances in Å follow each position.
Fractional coordinates of all 10 atoms:
Er: 0.6371 0.2407 0.1494  6 Sc 3.33-3.49, 6 Er 3.36-3.49
Sc: 0.7670 0.7470 0.0494  9 Er 3.33-3.53, 3 Sc 3.34-3.50
Sc: 0.2330 0.2530 0.9506  9 Er 3.33-3.53, 3 Sc 3.34-3.50
Er: 0.3629 0.7593 0.8506  6 Sc 3.33-3.49, 6 Er 3.36-3.49
Er: 0.1751 0.7500 0.2500  6 Er 3.36-3.46, 6 Sc 3.36-3.53
Er: 0.0272 0.2593 0.3506  6 Sc 3.33-3.49, 6 Er 3.36-3.49
Er: 0.8249 0.2500 0.7500  6 Er 3.36-3.46, 6 Sc 3.36-3.53
Sc: 0.4366 0.2470 0.5494  9 Er 3.33-3.53, 3 Sc 3.34-3.50
Er: 0.9728 0.7407 0.6494  6 Sc 3.33-3.49, 6 Er 3.36-3.49
Sc: 0.5634 0.7530 0.4506  9 Er 3.33-3.53, 3 Sc 3.34-3.50

---

[3]
Density functional theory data (PBE) for a relaxed structure of Er5Sc4.

Computed properties:
* total magnetization: 0.00 μB/f.u.
* V: 250 Å³ per cell
* DFT total energy: -47.681 eV/f.u.

Lattice parameters (Å, degrees): 4.8066 7.5973 7.5972 84.26 71.56 71.56
Closest atoms and distances in Å follow each position.
Fractional coordinates of all 9 atoms:
Sc: 0.6601 0.3399 0.3399  5 Sc 3.26-3.33, 7 Er 3.38-3.46
Er: 0.6685 0.6630 0.0000  6 Er 3.36-3.43, 6 Sc 3.38-3.43
Er: 0.3315 0.0000 0.3370  6 Er 3.36-3.43, 6 Sc 3.38-3.43
Sc: 0.0000 0.6601 0.3399  5 Sc 3.26-3.33, 7 Er 3.38-3.46
Er: 0.0000 0.0000 0.0000  8 Er 3.42, 4 Sc 3.46
Sc: 0.0000 0.3399 0.6601  5 Sc 3.26-3.33, 7 Er 3.38-3.46
Er: 0.6685 0.0000 0.6630  6 Er 3.36-3.43, 6 Sc 3.38-3.43
Er: 0.3315 0.3370 0.0000  6 Er 3.36-3.43, 6 Sc 3.38-3.43
Sc: 0.3399 0.6601 0.6601  5 Sc 3.26-3.33, 7 Er 3.38-3.46

---

[4]
Density functional theory data (PBE) for a relaxed structure of Er3Sc.

Computed properties:
* total magnetization: 0.00 μB/f.u.
* E above lowest polymorph: 31 meV per atom
* V: 116 Å³ per cell
* DFT total energy: -19.847 eV/f.u.

Lattice parameters (Å, degrees): 4.8854 4.8854 5.9530 114.23 114.23 90.00
Closest atoms and distances in Å follow each position.
Fractional coordinates of all 4 atoms:
Er: 0.2500 0.7500 0.5000  8 Er 3.44-3.45, 4 Sc 3.44
Er: 0.7500 0.2500 0.5000  8 Er 3.44-3.45, 4 Sc 3.44
Er: 0.5000 0.5000 0.0000  8 Er 3.44, 4 Sc 3.45
Sc: 0.0000 0.0000 0.0000  12 Er 3.44-3.45

---

[5]
Density functional theory data (PBE) for a relaxed structure of Er3Sc.

Computed properties:
* total magnetization: 0.00 μB/f.u.
* E above lowest polymorph: 0 meV per atom
* V: 234 Å³ per cell
* DFT total energy: -19.972 eV/f.u.

Lattice parameters (Å, degrees): 5.4670 7.0246 7.0246 120.00 90.00 90.00
Closest atoms and distances in Å follow each position.
Fractional coordinates of all 8 atoms:
Er: 0.2500 0.8312 0.1688  4 Sc 3.39-3.51, 8 Er 3.42-3.56
Er: 0.7500 0.1688 0.8312  4 Sc 3.39-3.51, 8 Er 3.42-3.56
Er: 0.7500 0.6625 0.8312  4 Sc 3.39-3.51, 8 Er 3.42-3.56
Sc: 0.2500 0.3333 0.6667  12 Er 3.39-3.51
Er: 0.2500 0.8312 0.6625  4 Sc 3.39-3.51, 8 Er 3.42-3.56
Er: 0.7500 0.1688 0.3375  4 Sc 3.39-3.51, 8 Er 3.42-3.56
Sc: 0.7500 0.6667 0.3333  12 Er 3.39-3.51
Er: 0.2500 0.3375 0.1688  4 Sc 3.39-3.51, 8 Er 3.42-3.56

---

[6]
Density functional theory data (PBE) for a relaxed structure of Er7Sc5.

Computed properties:
* total magnetization: 0.00 μB/f.u.
* E above lowest polymorph: 140 meV per atom
* V: 343 Å³ per cell
* DFT total energy: -61.443 eV/f.u.

Lattice parameters (Å, degrees): 5.3705 5.3651 14.0789 100.97 90.00 120.03
Closest atoms and distances in Å follow each position.
Fractional coordinates of all 12 atoms:
Er: 0.6910 0.3820 0.0741  7 Sc 3.26-3.59, 4 Er 3.51-3.63
Er: 0.0693 0.1386 0.2117  5 Sc 2.91-3.18
Sc: 0.8526 0.7051 0.5566  8 Er 3.12-3.47, 3 Sc 3.46-3.47
Sc: 0.0000 0.0000 0.0000  2 Er 2.91
Er: 0.3090 0.6180 0.9259  7 Sc 3.26-3.59, 4 Er 3.51-3.63
Er: 0.9307 0.8614 0.7883  5 Sc 2.91-3.18
Sc: 0.3946 0.7893 0.1872  6 Er 3.12-3.47
Sc: 0.6054 0.2107 0.8128  6 Er 3.12-3.47
Er: 0.7756 0.5512 0.3293  4 Sc 3.12-3.47, 3 Er 3.49-3.50
Er: 0.5000 0.0000 0.5000  6 Sc 3.19-3.20
Er: 0.2244 0.4488 0.6707  4 Sc 3.12-3.47, 3 Er 3.49-3.50
Sc: 0.1474 0.2949 0.4434  8 Er 3.12-3.47, 3 Sc 3.46-3.47